# La2Pm5Ho

A relaxed La2Pm5Ho crystal (GGA-PBE, Alexandria via LeMat-Bulk).

The calculation puts the energy above the most stable polymorph in this dataset at 37 meV per atom. The energy of formation from the pure elements comes out at 124 meV/atom.

The structure belongs to space group Cmcm (No. 63); the cell edges are 5.744, 12.062 and 16.348 Å and the angles 90.00°, 90.00° and 90.00°. Symmetry generates all atoms from La at (0.000, 0.220, 0.130), Pm at (0.000, 0.078, 0.592), Pm at (0.000, 0.383, 0.551), Pm at (0.000, 0.463, 0.250) and Ho at (0.000, 0.258, 0.750).